[1]
Compound: ZnRuCl2
Source: Alexandria
Functional: PBE
Structure: optimized geometry

Cell and atoms, written as CIF:
```
data_ZnRuCl2
_symmetry_space_group_name_H-M 'C m m m'
_symmetry_Int_Tables_number 65
_symmetry_space_group_name_Hall '-C 2 2'
_cell_length_a 5.0826
_cell_length_b 12.1168
_cell_length_c 3.5716
_cell_angle_alpha 90.00
_cell_angle_beta 90.00
_cell_angle_gamma 90.00
loop_
_atom_site_label
_atom_site_type_symbol
_atom_site_fract_x
_atom_site_fract_y
_atom_site_fract_z
_atom_site_occupancy
Zn1 Zn 0.0000 0.0000 0.0000 1
Ru1 Ru 0.0000 0.5000 0.0000 1
Cl1 Cl 0.0000 0.3726 0.5000 1
```

Output
* spin magnetization: 0.257 μB per atom
* energy relative to the elements, uncorrected: -0.100 eV per atom
* ΔE to the lowest computed polymorph: 173 meV per atom



[2]
Compound: Fe2SbBr
Source: Alexandria
Functional: PBE
Structure: optimized geometry

Cell and atoms, written as CIF:
```
data_Fe2SbBr
_symmetry_space_group_name_H-M 'R -3 m'
_symmetry_Int_Tables_number 166
_symmetry_space_group_name_Hall '-R 3 2"'
_cell_length_a 3.3503
_cell_length_b 3.3503
_cell_length_c 22.7581
_cell_angle_alpha 90.00
_cell_angle_beta 90.00
_cell_angle_gamma 120.00
loop_
_atom_site_label
_atom_site_type_symbol
_atom_site_fract_x
_atom_site_fract_y
_atom_site_fract_z
_atom_site_occupancy
Fe1 Fe 0.0000 0.0000 0.2503 1
Sb1 Sb 0.0000 0.0000 0.0000 1
Br1 Br 0.0000 0.0000 0.5000 1
```

Output
* spin magnetization: 1.330 μB per atom
* energy relative to the elements, uncorrected: 0.442 eV per atom
* ΔE to the lowest computed polymorph: 376 meV per atom



[3]
Compound: SmYTm3
Source: Alexandria
Functional: PBE
Structure: optimized geometry

Cell and atoms, written as CIF:
```
data_SmYTm3
_symmetry_space_group_name_H-M 'P 1 21/m 1'
_symmetry_Int_Tables_number 11
_cell_length_a 3.5816
_cell_length_b 11.4501
_cell_length_c 8.5798
_cell_angle_alpha 90.00
_cell_angle_beta 101.97
_cell_angle_gamma 90.00
loop_
_symmetry_equiv_pos_as_xyz
'x,y,z'
'-x,-y,-z'
'-x,y+1/2,-z'
'x,-y+1/2,z'
loop_
_atom_site_label
_atom_site_type_symbol
_atom_site_fract_x
_atom_site_fract_y
_atom_site_fract_z
_atom_site_occupancy
Sm1 Sm 0.0180 0.2500 0.0398 1
Y1 Y 0.3055 0.7500 0.6103 1
Tm1 Tm 0.1598 0.5014 0.3181 1
Tm2 Tm 0.3549 0.2500 0.7117 1
```

Output
* spin magnetization: 0.000 μB per atom
* ΔE to the lowest computed polymorph: 313 meV per atom



[4]
Compound: Rb2LaZnI6
Source: Alexandria
Functional: PBE
Structure: optimized geometry

Cell and atoms, written as CIF:
```
data_Rb2LaZnI6
_symmetry_space_group_name_H-M 'I 4/m m m'
_symmetry_Int_Tables_number 139
_symmetry_space_group_name_Hall '-I 4 2'
_cell_length_a 8.7771
_cell_length_b 8.7771
_cell_length_c 12.3751
_cell_angle_alpha 90.00
_cell_angle_beta 90.00
_cell_angle_gamma 90.00
loop_
_atom_site_label
_atom_site_type_symbol
_atom_site_fract_x
_atom_site_fract_y
_atom_site_fract_z
_atom_site_occupancy
Rb1 Rb 0.0000 0.5000 0.2500 1
La1 La 0.0000 0.0000 0.0000 1
Zn1 Zn 0.0000 0.0000 0.5000 1
I1 I 0.0000 0.0000 0.2549 1
I2 I 0.2458 0.2458 0.5000 1
```

Output
* spin magnetization: 0.000 μB per atom
* energy relative to the elements, uncorrected: -1.151 eV per atom



[5]
Compound: Tb3CuTe2
Source: Alexandria
Functional: PBE
Structure: optimized geometry

Cell and atoms, written as CIF:
```
data_Tb3CuTe2
_symmetry_space_group_name_H-M 'C 1 2/m 1'
_symmetry_Int_Tables_number 12
_cell_length_a 7.3298
_cell_length_b 12.6958
_cell_length_c 7.5854
_cell_angle_alpha 90.00
_cell_angle_beta 108.98
_cell_angle_gamma 90.00
loop_
_symmetry_equiv_pos_as_xyz
'x,y,z'
'-x,-y,-z'
'-x,y,-z'
'x,-y,z'
'x+1/2,y+1/2,z'
'-x+1/2,-y+1/2,-z'
'-x+1/2,y+1/2,-z'
'x+1/2,-y+1/2,z'
loop_
_atom_site_label
_atom_site_type_symbol
_atom_site_fract_x
_atom_site_fract_y
_atom_site_fract_z
_atom_site_occupancy
Tb1 Tb 0.2204 0.0000 0.2227 1
Tb2 Tb 0.2458 0.1763 0.7705 1
Cu1 Cu 0.0000 0.1691 0.0000 1
Te1 Te 0.0000 0.0000 0.5000 1
Te2 Te 0.0000 0.3432 0.5000 1
Te3 Te 0.0000 0.5000 0.0000 1
```

Output
* spin magnetization: 0.000 μB per atom
* energy relative to the elements, uncorrected: -0.929 eV per atom



[6]
Compound: CdSi23
Source: Alexandria
Functional: PBE
Structure: optimized geometry

Cell and atoms, written as CIF:
```
data_CdSi23
_symmetry_space_group_name_H-M 'P m -3 n'
_symmetry_Int_Tables_number 223
_symmetry_space_group_name_Hall '-P 4n 2 3'
_cell_length_a 10.2532
_cell_length_b 10.2532
_cell_length_c 10.2532
_cell_angle_alpha 90.00
_cell_angle_beta 90.00
_cell_angle_gamma 90.00
loop_
_atom_site_label
_atom_site_type_symbol
_atom_site_fract_x
_atom_site_fract_y
_atom_site_fract_z
_atom_site_occupancy
Cd1 Cd 0.0000 0.0000 0.0000 1
Si1 Si 0.0000 0.1173 0.3078 1
Si2 Si 0.0000 0.2500 0.5000 1
Si3 Si 0.1835 0.1835 0.1835 1
```

Output
* spin magnetization: 0.000 μB per atom
* energy relative to the elements, uncorrected: 0.077 eV per atom